Record 1
A plane-wave DFT calculation with PBE was carried out for an optimized crystal structure of Tb5Pm2Er2.

Values from the calculation:
Total DFT energy (no corrections) ... -0.3400 Ry per atom
Total moment ... 0.0 μB per formula unit
Energy relative to the lowest polymorph listed for this composition ... 0 meV/atom
DOS(E_F) ... 11.46 states/eV per cell
Energy relative to the elements ... 0.4 kcal/mol of atoms
ρ ... 8.2 g/cm³
V ... 288.85 Å³/cell

Cell: 3.572 6.172 13.807 Å, 90.02 97.34 106.78°
Space group P-1 (No. 2)
Symmetry-distinct sites (fractional):
Tb 0.000 0.000 0.000 (multiplicity 1)
Tb 0.334 0.223 0.445 (multiplicity 2)
Tb 0.334 0.556 0.112 (multiplicity 2)
Pm 0.334 0.890 0.777 (multiplicity 2)
Er 0.000 0.335 0.665 (multiplicity 2)

=====

Record 2
A plane-wave DFT calculation with PBE was carried out for an optimized crystal structure of KBa2AsP.

Values from the calculation:
Total DFT energy (no corrections) ... -0.2593 Ry per atom
Total moment ... 1.0 μB per formula unit
DOS(E_F) ... 6.49 states/eV per cell
Energy relative to the elements ... -12.2 kcal/mol of atoms
ρ ... 2.8 g/cm³
V ... 247.37 Å³/cell

Cell: 6.091 6.091 6.668 Å, 90.00 90.00 90.00°
Space group P4mm (No. 99)
Symmetry-distinct sites (fractional):
K 0.000 0.000 0.000 (multiplicity 1)
Ba 0.000 0.500 0.428 (multiplicity 2)
As 0.500 0.500 0.214 (multiplicity 1)
P 0.000 0.000 0.529 (multiplicity 1)